Compound: In12As3H5
Source: the Alexandria database
Functional: PBE
Structure: optimized geometry

Results
Calculated density ... 6.10 g cm⁻³
SG ... Ia-3d, No. 230
Total magnetization ... 0.00 μB per cell
DFT total energy ... -234.76 eV for the cell shown

POSCAR file:
```
In12As3H5
1.0
-7.591 7.591 7.591
7.591 -7.591 7.591
7.591 7.591 -7.591
In As H
48 12 20
Cartesian
2.213 -0.591 0.834
9.174 4.630 -4.386
7.000 -0.834 2.213
11.977 -1.583 2.961
9.804 0.591 0.834
9.174 -2.961 4.386
0.834 2.213 -0.591
10.552 3.205 -1.583
4.630 4.386 -1.583
6.757 2.213 0.591
-0.591 0.834 2.213
4.386 -1.583 4.630
7.000 6.757 -2.213
4.386 1.583 2.961
6.757 -2.213 7.000
4.630 -4.386 9.174
2.961 4.386 1.583
8.425 5.378 0.591
2.213 7.000 -0.834
9.174 2.961 3.205
4.386 9.174 -2.961
7.000 0.834 5.378
1.583 2.961 4.386
2.213 0.591 6.757
5.378 7.000 0.834
6.008 4.630 3.205
0.591 6.757 2.213
3.205 -1.583 10.552
-1.583 4.630 4.386
5.378 0.591 8.425
-0.834 2.213 7.000
4.630 3.205 6.008
2.961 11.977 -1.583
0.834 9.804 0.591
3.205 6.008 4.630
0.591 0.834 9.804
3.205 9.174 2.961
8.182 6.757 5.378
0.834 5.378 7.000
2.961 3.205 9.174
-2.961 4.386 9.174
6.757 5.378 8.182
-1.583 10.552 3.205
-2.213 7.000 6.757
-4.386 9.174 4.630
0.591 8.425 5.378
-1.583 2.961 11.977
5.378 8.182 6.757
3.795 1.898 0.000
7.591 3.795 -1.898
1.898 0.000 3.795
9.489 0.000 3.795
0.000 3.795 1.898
3.795 -1.898 7.591
3.795 9.489 0.000
7.591 3.795 5.693
-1.898 7.591 3.795
5.693 7.591 3.795
0.000 3.795 9.489
3.795 5.693 7.591
0.000 0.000 0.000
3.795 3.795 -3.795
3.795 -3.795 3.795
7.591 0.000 0.000
11.386 1.898 0.000
7.591 -3.795 5.693
5.693 7.591 -3.795
5.693 0.000 3.795
3.795 5.693 0.000
7.591 3.795 1.898
-3.795 3.795 3.795
0.000 7.591 0.000
0.000 0.000 7.591
3.795 3.795 3.795
0.000 3.795 5.693
3.795 1.898 7.591
1.898 7.591 3.795
1.898 0.000 11.386
0.000 11.386 1.898
-3.795 5.693 7.591
```